No. 1
VASP calculation (PBE) on crystalline BeGaCoSi at its relaxed geometry.

abc: 4.0247 4.0247 4.0247
angles: 60.00 60.00 60.00
Last column: nearest neighbours and their distance in Å.
Atoms (fractional coordinates):
1 Co 0.5000 0.5000 0.5000  4 Be 2.46, 4 Si 2.46
2 Be 0.7500 0.7500 0.7500  4 Ga 2.46, 4 Co 2.46
3 Ga 0.0000 0.0000 0.0000  4 Be 2.46, 4 Si 2.46
4 Si 0.2500 0.2500 0.2500  4 Co 2.46, 4 Ga 2.46

Results
Magnetization (μB/f.u.): 0.00
SG: No. 216
Total energy (eV per atom): -4.634

---

No. 2
VASP calculation (PBE) on crystalline BeGaCoSi at its relaxed geometry.

abc: 4.0154 4.0154 4.0154
angles: 60.00 60.00 60.00
Last column: nearest neighbours and their distance in Å.
Atoms (fractional coordinates):
1 Si 0.5000 0.5000 0.5000  4 Be 2.46, 4 Co 2.46
2 Be 0.7500 0.7500 0.7500  4 Ga 2.46, 4 Si 2.46
3 Ga 0.0000 0.0000 0.0000  4 Be 2.46, 4 Co 2.46
4 Co 0.2500 0.2500 0.2500  4 Si 2.46, 4 Ga 2.46

Results
Magnetization (μB/f.u.): 0.00
SG: No. 216
Total energy (eV per atom): -4.734

---

No. 3
VASP calculation (PBE) on crystalline BeGaCoTc at its relaxed geometry.

abc: 4.0788 4.0788 4.0788
angles: 60.00 60.00 60.00
Last column: nearest neighbours and their distance in Å.
Atoms (fractional coordinates):
1 Tc 0.5000 0.5000 0.5000  4 Be 2.50, 4 Co 2.50
2 Co 0.7500 0.7500 0.7500  4 Ga 2.50, 4 Tc 2.50
3 Be 0.2500 0.2500 0.2500  4 Tc 2.50, 4 Ga 2.50
4 Ga 0.0000 0.0000 0.0000  4 Co 2.50, 4 Be 2.50

Results
Magnetization (μB/f.u.): 2.30
SG: No. 216
Total energy (eV per atom): -6.067

---

No. 4
VASP calculation (PBE) on crystalline BeGaCoTc at its relaxed geometry.

abc: 4.0703 4.0703 4.0703
angles: 60.00 60.00 60.00
Last column: nearest neighbours and their distance in Å.
Atoms (fractional coordinates):
1 Co 0.7500 0.7500 0.7500  4 Be 2.49, 4 Ga 2.49
2 Ga 0.0000 0.0000 0.0000  4 Tc 2.49, 4 Co 2.49
3 Tc 0.2500 0.2500 0.2500  4 Ga 2.49, 4 Be 2.49
4 Be 0.5000 0.5000 0.5000  4 Co 2.49, 4 Tc 2.49

Results
Magnetization (μB/f.u.): 1.42
SG: No. 216
Total energy (eV per atom): -6.090

---

No. 5
VASP calculation (PBE) on crystalline ZrBeGaCo at its relaxed geometry.

abc: 4.2959 4.2959 4.2959
angles: 60.00 60.00 60.00
Last column: nearest neighbours and their distance in Å.
Atoms (fractional coordinates):
1 Ga 0.5000 0.5000 0.5000  4 Zr 2.63, 4 Be 2.63
2 Be 0.7500 0.7500 0.7500  4 Ga 2.63, 4 Co 2.63
3 Co 0.0000 0.0000 0.0000  4 Zr 2.63, 4 Be 2.63
4 Zr 0.2500 0.2500 0.2500  4 Ga 2.63, 4 Co 2.63

Results
Magnetization (μB/f.u.): 0.06
SG: No. 216
Total energy (eV per atom): -5.756

---

No. 6
VASP calculation (PBE) on crystalline ZrBeGaCo at its relaxed geometry.

abc: 4.2782 4.2782 4.2782
angles: 60.00 60.00 60.00
Last column: nearest neighbours and their distance in Å.
Atoms (fractional coordinates):
1 Zr 0.0000 0.0000 0.0000  4 Be 2.62, 4 Ga 2.62
2 Be 0.7500 0.7500 0.7500  4 Zr 2.62, 4 Co 2.62
3 Co 0.5000 0.5000 0.5000  4 Be 2.62, 4 Ga 2.62
4 Ga 0.2500 0.2500 0.2500  4 Zr 2.62, 4 Co 2.62

Results
Magnetization (μB/f.u.): 0.15
SG: No. 216
Total energy (eV per atom): -5.763

---

| no. | V (Å³/f.u.) |
| --- | --- |
| 1 | 46 |
| 2 | 46 |
| 3 | 48 |
| 4 | 48 |
| 5 | 56 |
| 6 | 55 |